Version i
Entry from Alexandria via LeMat-Bulk: an optimized crystal structure of LiVOF3 (PBE with a Hubbard U).

Cell: 4.702 5.565 10.279 Å, 90.00 90.00 90.00°
Each line ends with the local moment (μB).
Fractional coordinates of all 24 atoms:
Li 0.014 0.494 0.997  0.00
Li 0.014 0.506 0.497  0.00
Li 0.514 0.006 0.003  0.00
Li 0.514 0.994 0.503  0.00
V 0.972 0.173 0.741  1.07
V 0.472 0.673 0.759  1.07
V 0.972 0.827 0.241  1.07
V 0.472 0.327 0.259  1.07
O 0.245 0.461 0.812  -0.11
O 0.245 0.539 0.312  -0.11
O 0.745 0.961 0.688  -0.11
O 0.745 0.039 0.188  -0.11
F 0.196 0.217 0.587  0.01
F 0.196 0.783 0.087  0.01
F 0.696 0.717 0.913  0.01
F 0.696 0.283 0.413  0.01
F 0.259 0.040 0.324  0.00
F 0.259 0.960 0.824  0.00
F 0.760 0.460 0.676  0.00
F 0.759 0.540 0.176  0.00
F 0.313 0.719 0.588  0.01
F 0.313 0.281 0.088  0.01
F 0.813 0.781 0.412  0.01
F 0.813 0.219 0.912  0.01

Space group: Pna2_1, No. 33
M_tot, μB per formula unit: 1.000
V, Å³ per atom: 11.21


Version ii
Entry from Alexandria via LeMat-Bulk: an optimized crystal structure of LiVOF3 (PBE with a Hubbard U).

Cell: 5.308 5.387 5.833 Å, 63.87 90.00 90.00°
Each line ends with the local moment (μB).
Fractional coordinates of all 12 atoms:
Li 0.260 0.245 0.532  0.00
Li 0.760 0.755 0.468  0.00
V 0.046 0.729 0.995  1.08
V 0.546 0.271 0.005  1.08
O 0.797 0.455 0.022  -0.12
O 0.297 0.545 0.978  -0.12
F 0.468 0.064 0.362  0.01
F 0.743 0.933 0.063  0.00
F 0.055 0.582 0.366  0.01
F 0.555 0.418 0.634  0.01
F 0.243 0.067 0.937  0.00
F 0.968 0.936 0.638  0.01

Space group: P2_1, No. 4
M_tot, μB per formula unit: 1.000
V, Å³ per atom: 12.48


So which one wins? Going from most stable to least: version ii, version i.